[1]
Below is crystalline CdHIr2 at its relaxed geometry, with properties calculated at the GGA-PBE level.

a b c (Å): 6.113 6.113 6.113
angles (deg): 90.00 90.00 90.00
Atoms (fractional coordinates):
Cd (0.000, 0.000, 0.000)
Cd (0.000, 0.500, 0.500)
Cd (0.500, 0.000, 0.500)
Cd (0.500, 0.500, 0.000)
H (0.000, 0.000, 0.500)
H (0.000, 0.500, 0.000)
H (0.500, 0.000, 0.000)
H (0.500, 0.500, 0.500)
Ir (0.250, 0.250, 0.250)
Ir (0.250, 0.250, 0.750)
Ir (0.250, 0.750, 0.250)
Ir (0.250, 0.750, 0.750)
Ir (0.750, 0.250, 0.250)
Ir (0.750, 0.250, 0.750)
Ir (0.750, 0.750, 0.250)
Ir (0.750, 0.750, 0.750)

Calculated values
As for the calculated density: 14.47 g cm⁻³. For the polymorph energy (0 for the lowest one), the calculation gives 0.672 eV per atom. As for the space-group type: Fm-3m (225).

[2]
Below is crystalline ZrNi2As at its relaxed geometry, with properties calculated at the GGA-PBE level.

a b c (Å): 3.979 3.979 7.473
angles (deg): 90.00 90.00 90.00
Atoms (fractional coordinates):
Zr (0.000, 0.000, 0.000)
Zr (0.500, 0.500, 0.500)
Ni (0.000, 0.000, 0.500)
Ni (0.000, 0.500, 0.250)
Ni (0.500, 0.000, 0.750)
Ni (0.500, 0.500, 0.000)
As (0.000, 0.500, 0.750)
As (0.500, 0.000, 0.250)

Calculated values
As for the calculated density: 7.96 g cm⁻³. Its formation energy is -1.4 eV per formula unit. As for the space-group type: I-4m2 (119).